The following is a DFT calculation (GGA-PBE) of a relaxed InCo2Pt crystal.

Properties
The energy of formation is 0.252 eV per atom. Its density of states at the Fermi level is 1.123 states/eV/atom. Its total magnetic moment is 0.7392 μB per atom. As for the total energy: -0.2020 Ha/atom.

abc: 2.8258 2.8258 25.5637
angles: 90.00 90.00 120.00
With the nearest neighbours (Å) after each atom.
Space group R-3m (No. 166, hexagonal axes)
Inequivalent atoms, fractional coordinates:
In 0.0000 0.0000 0.0000 [3 per cell]  6 Co 2.73, 6 In 2.83
Co 0.0000 0.0000 0.2477 [6 per cell]  3 Pt 2.64, 3 In 2.73, 6 Co 2.83
Pt 0.0000 0.0000 0.5000 [3 per cell]  6 Co 2.64, 6 Pt 2.83